The following is a DFT calculation (PBE) of a relaxed K2Tl3IrO6 crystal.

```
K2Tl3IrO6
1.0
3.1913 -5.7279 0.0000
3.1913 5.7279 0.0000
-1.9105 0.0000 5.8233
K Tl Ir O
2 3 1 6
Cartesian
3.1913 3.7737 0.0000
3.1913 -3.7737 0.0000
-0.9552 0.0000 2.9117
2.2361 1.7328 2.9117
2.2361 -1.7328 2.9117
3.1913 0.0000 0.0000
0.4677 1.3521 4.6826
1.6226 0.0000 1.2643
0.4677 -1.3521 4.6826
4.0044 1.3521 1.1407
2.8495 0.0000 4.5590
4.0044 -1.3521 1.1407
```

Properties
The calculation puts the theoretical density at 7.6 g/cm3. Its formation energy without anion corrections is -934 meV/atom. Its volume is 212.9 Å³ per cell. The total moment is 0.00 μB/atom.